(1)
{
  "formula": "BaBe2Sb",
  "functional": "PBE",
  "state": "optimized geometry",
  "lattice": [[-4.080, -0.864, 0.266], [1.068, -5.136, -0.302], [0.355, -0.206, 4.775]],
  "species": ["Sb", "Ba", "Be", "Be"],
  "fractional_positions": [[0.500, 0.250, 0.250], [0.500, 0.750, 0.750], [0.000, 0.250, 0.972], [0.000, 0.250, 0.528]],
  "m_tot_mub_per_atom": 0.001,
  "formation_energy_uncorrected_kj_per_mol_fu": 18,
  "density_g_cm3": 4.37
}

(2)
{
  "formula": "TlRe2Hg",
  "functional": "PBE",
  "state": "optimized geometry",
  "lattice": [[-4.368, -1.508, 1.664], [-0.345, -2.220, -2.917], [2.185, -3.213, 2.824]],
  "species": ["Hg", "Re", "Re", "Tl"],
  "fractional_positions": [[0.500, 0.750, 0.750], [0.000, 0.051, 0.919], [0.000, 0.449, 0.581], [0.500, 0.250, 0.250]],
  "m_tot_mub_per_atom": 0.000,
  "formation_enthalpy_0k_ev_per_atom": 0.97,
  "density_g_cm3": 14.94
}

(3)
{
  "formula": "Ti2InBi",
  "functional": "PBE",
  "state": "optimized geometry",
  "lattice": [[0.000, 3.466, 3.466], [3.466, 0.000, 3.466], [3.466, 3.466, 0.000]],
  "species": ["Ti", "Ti", "Bi", "In"],
  "fractional_positions": [[0.250, 0.250, 0.250], [0.750, 0.750, 0.750], [0.500, 0.500, 0.500], [0.000, 0.000, 0.000]],
  "m_tot_mub_per_atom": 0.000,
  "formation_enthalpy_0k_ev_per_atom": 0.12,
  "density_g_cm3": 8.36
}

(4)
{
  "formula": "Ca2Ga2Ge3",
  "functional": "PBE",
  "state": "optimized geometry",
  "lattice": [[-0.664, 1.573, 4.026], [-7.174, -0.638, -0.934], [0.677, -10.035, 1.657]],
  "species": ["Ca", "Ca", "Ca", "Ca", "Ga", "Ga", "Ga", "Ga", "Ge", "Ge", "Ge", "Ge", "Ge", "Ge"],
  "fractional_positions": [[0.153, 0.250, 0.306], [0.847, 0.750, 0.694], [0.954, 0.250, 0.908], [0.046, 0.750, 0.092], [0.689, 0.956, 0.377], [0.311, 0.044, 0.623], [0.311, 0.456, 0.623], [0.689, 0.544, 0.377], [0.220, 0.750, 0.440], [0.780, 0.250, 0.560], [0.561, 0.428, 0.121], [0.439, 0.572, 0.879], [0.439, 0.928, 0.879], [0.561, 0.072, 0.121]],
  "m_tot_mub_per_atom": 0.000,
  "formation_enthalpy_0k_ev_per_atom": -0.36,
  "density_g_cm3": 4.60
}

(5)
{
  "formula": "Ac2Zn3Cu",
  "functional": "PBE",
  "state": "optimized geometry",
  "lattice": [[3.928, 0.000, 0.000], [0.000, 4.643, 0.000], [0.000, 0.000, 8.108]],
  "species": ["Ac", "Ac", "Zn", "Zn", "Zn", "Cu"],
  "fractional_positions": [[0.000, 0.500, 0.008], [0.000, 0.000, 0.492], [0.500, 0.000, 0.830], [0.500, 0.000, 0.167], [0.500, 0.500, 0.667], [0.500, 0.500, 0.336]],
  "m_tot_mub_per_atom": 0.000,
  "formation_enthalpy_0k_ev_per_atom": -0.27,
  "density_g_cm3": 8.02
}

(6)
{
  "formula": "Ta2CuIr",
  "functional": "PBE",
  "state": "optimized geometry",
  "lattice": [[7.174, 0.000, 0.000], [0.000, 7.174, 0.000], [3.587, 3.587, 2.702]],
  "species": ["Ir", "Ir", "Cu", "Cu", "Ta", "Ta", "Ta", "Ta"],
  "fractional_positions": [[0.000, 0.000, 0.000], [0.750, 0.250, 0.500], [0.500, 0.500, 0.000], [0.250, 0.750, 0.500], [0.642, 0.125, 0.250], [0.108, 0.625, 0.250], [0.375, 0.358, 0.750], [0.875, 0.892, 0.750]],
  "m_tot_mub_per_atom": 0.000,
  "formation_enthalpy_0k_ev_per_atom": 0.32,
  "density_g_cm3": 14.76
}

(7)
{
  "formula": "TmSi3Os3",
  "functional": "PBE",
  "state": "optimized geometry",
  "lattice": [[6.512, 0.000, 0.000], [0.000, 6.512, 0.000], [0.000, 0.000, 6.512]],
  "species": ["Si", "Si", "Si", "Si", "Si", "Si", "Tm", "Tm", "Os", "Os", "Os", "Os", "Os", "Os"],
  "fractional_positions": [[0.000, 0.250, 0.500], [0.000, 0.750, 0.500], [0.500, 0.000, 0.750], [0.750, 0.500, 0.000], [0.500, 0.000, 0.250], [0.250, 0.500, 0.000], [0.500, 0.500, 0.500], [0.000, 0.000, 0.000], [0.250, 0.000, 0.500], [0.000, 0.500, 0.250], [0.500, 0.750, 0.000], [0.750, 0.000, 0.500], [0.000, 0.500, 0.750], [0.500, 0.250, 0.000]],
  "m_tot_mub_per_atom": 0.000,
  "formation_energy_uncorrected_kj_per_mol_fu": 99,
  "density_g_cm3": 9.91
}

(8)
{
  "formula": "Pr8SmHo3",
  "functional": "PBE",
  "state": "optimized geometry",
  "lattice": [[6.569, 1.307, -1.886], [3.143, 7.841, -2.184], [0.198, 0.492, 8.721]],
  "species": ["Pr", "Pr", "Pr", "Pr", "Pr", "Pr", "Pr", "Pr", "Sm", "Ho", "Ho", "Ho"],
  "fractional_positions": [[0.459, 0.649, 0.862], [0.546, 0.012, 0.804], [0.963, 0.153, 0.859], [0.455, 0.317, 0.526], [0.545, 0.677, 0.474], [0.037, 0.844, 0.140], [0.542, 0.345, 0.139], [0.452, 0.983, 0.195], [0.960, 0.814, 0.525], [0.042, 0.509, 0.805], [0.042, 0.181, 0.474], [0.958, 0.484, 0.195]],
  "m_tot_mub_per_atom": 0.000,
  "formation_enthalpy_0k_ev_per_atom": 0.03,
  "density_g_cm3": 7.01
}

(9)
{
  "formula": "Ce2BrCl4",
  "functional": "PBE",
  "state": "optimized geometry",
  "lattice": [[-3.859, -3.177, -0.055], [-1.225, -2.516, 4.142], [-7.833, 5.512, 4.048]],
  "species": ["Br", "Ce", "Ce", "Cl", "Cl", "Cl", "Cl"],
  "fractional_positions": [[0.500, 0.500, 0.500], [0.598, 0.598, 0.205], [0.402, 0.402, 0.795], [0.699, 0.699, 0.902], [0.912, 0.912, 0.265], [0.301, 0.301, 0.098], [0.088, 0.088, 0.735]],
  "m_tot_mub_per_atom": 0.429,
  "formation_energy_uncorrected_kj_per_mol_fu": -1340,
  "density_g_cm3": 3.86
}

(10)
{
  "formula": "InAgHgPb",
  "functional": "PBE",
  "state": "optimized geometry",
  "lattice": [[5.231, 0.000, 0.000], [2.615, 4.530, 0.000], [2.615, 1.510, 4.271]],
  "species": ["Pb", "Hg", "Ag", "In"],
  "fractional_positions": [[0.000, 0.000, 0.000], [0.750, 0.750, 0.750], [0.250, 0.250, 0.250], [0.500, 0.500, 0.500]],
  "m_tot_mub_per_atom": 0.000,
  "formation_enthalpy_0k_ev_per_atom": 0.11,
  "density_g_cm3": 10.34
}

(11)
{
  "formula": "MgMnTe2",
  "functional": "PBE",
  "state": "optimized geometry",
  "lattice": [[-1.870, -1.187, 5.582], [5.821, -1.239, 0.803], [-3.703, 4.657, -0.815]],
  "species": ["Mg", "Mn", "Te", "Te"],
  "fractional_positions": [[0.750, 0.250, 0.500], [0.250, 0.750, 0.500], [0.009, 0.009, 0.000], [0.491, 0.491, 0.000]],
  "m_tot_mub_per_atom": 1.247,
  "formation_energy_uncorrected_kj_per_mol_fu": -41,
  "density_g_cm3": 4.31
}

(12)
{
  "formula": "Pm4Te2PIr",
  "functional": "PBE",
  "state": "optimized geometry",
  "lattice": [[-3.318, 1.134, 2.370], [3.532, -2.391, 6.088], [1.770, 7.396, -1.061]],
  "species": ["Pm", "Pm", "Pm", "Pm", "Te", "Te", "P", "Ir"],
  "fractional_positions": [[0.500, 0.234, 0.210], [0.500, 0.766, 0.790], [0.000, 0.258, 0.788], [0.000, 0.742, 0.212], [0.500, 0.000, 0.500], [0.000, 0.500, 0.500], [0.500, 0.500, 0.000], [0.000, 0.000, 0.000]],
  "m_tot_mub_per_atom": 0.000,
  "formation_energy_uncorrected_kj_per_mol_fu": -981,
  "density_g_cm3": 7.66
}

(13)
{
  "formula": "Te4HAu2",
  "functional": "PBE",
  "state": "optimized geometry",
  "lattice": [[-4.753, 5.051, 0.953], [-4.226, -2.983, -5.742], [1.920, -6.137, 7.368]],
  "species": ["Te", "Te", "Te", "Te", "Te", "Te", "Te", "Te", "H", "H", "Au", "Au", "Au", "Au"],
  "fractional_positions": [[0.941, 0.174, 0.332], [0.309, 0.576, 0.168], [0.799, 0.554, 0.628], [0.775, 0.064, 0.608], [0.016, 0.989, 0.044], [0.451, 0.196, 0.872], [0.476, 0.686, 0.892], [0.234, 0.761, 0.456], [0.447, 0.681, 0.575], [0.803, 0.069, 0.925], [0.625, 0.375, 0.750], [0.625, 0.875, 0.250], [0.625, 0.375, 0.250], [0.125, 0.375, 0.750]],
  "e_tot_ry_per_atom": -0.2319,
  "m_tot_mub_per_atom": 0.000,
  "density_g_cm3": 7.45
}

(14)
{
  "formula": "NaAgTe2",
  "functional": "PBE",
  "state": "optimized geometry",
  "lattice": [[2.150, 0.000, 9.896], [-1.075, 1.862, 9.896], [-1.075, -1.862, 9.896]],
  "species": ["Na", "Te", "Te", "Ag"],
  "fractional_positions": [[0.500, 0.500, 0.500], [0.911, 0.911, 0.911], [0.089, 0.089, 0.089], [0.000, 0.000, 0.000]],
  "m_tot_mub_per_atom": 0.000,
  "formation_energy_uncorrected_kj_per_mol_fu": -39,
  "density_g_cm3": 5.39
}

(15)
{
  "formula": "CeS",
  "functional": "PBE",
  "state": "optimized geometry",
  "lattice": [[-3.301, -0.018, -2.198], [3.499, -0.837, -1.669], [-0.944, -6.882, 1.474]],
  "species": ["Ce", "Ce", "S", "S"],
  "fractional_positions": [[0.000, 0.000, 0.000], [0.000, 0.000, 0.500], [0.333, 0.667, 0.250], [0.667, 0.333, 0.750]],
  "m_tot_mub_per_atom": 0.575,
  "formation_energy_uncorrected_kj_per_mol_fu": -350,
  "density_g_cm3": 5.91
}

(16)
{
  "formula": "Hg3OsF6",
  "functional": "PBE",
  "state": "optimized geometry",
  "lattice": [[5.276, 0.000, 0.000], [-2.638, 4.569, 0.000], [0.000, 0.000, 7.620]],
  "species": ["Hg", "Hg", "Hg", "Os", "F", "F", "F", "F", "F", "F"],
  "fractional_positions": [[0.000, 0.000, 0.500], [0.667, 0.333, 0.500], [0.333, 0.667, 0.500], [0.000, 0.000, 0.000], [0.709, 0.709, 0.849], [0.000, 0.291, 0.849], [0.291, 0.000, 0.849], [0.000, 0.709, 0.151], [0.291, 0.291, 0.151], [0.709, 0.000, 0.151]],
  "m_tot_mub_per_atom": 0.297,
  "formation_energy_uncorrected_kj_per_mol_fu": -1303,
  "density_g_cm3": 8.19
}

(17)
{
  "formula": "Th2Si4Os5",
  "functional": "PBE",
  "state": "optimized geometry",
  "lattice": [[-0.042, 5.521, -2.053], [-0.929, 1.022, -5.683], [-6.400, 3.124, 0.081]],
  "species": ["Th", "Th", "Si", "Si", "Si", "Si", "Os", "Os", "Os", "Os", "Os"],
  "fractional_positions": [[0.871, 0.000, 0.258], [0.129, 0.000, 0.742], [0.489, 0.294, 0.728], [0.511, 0.706, 0.272], [0.217, 0.294, 0.272], [0.783, 0.706, 0.728], [0.500, 0.000, 0.000], [0.000, 0.500, 0.000], [0.500, 0.500, 0.000], [0.250, 0.500, 0.500], [0.750, 0.500, 0.500]],
  "m_tot_mub_per_atom": 0.000,
  "formation_energy_uncorrected_kj_per_mol_fu": -587,
  "density_g_cm3": 13.14
}

(18)
{
  "formula": "LaIn2Co",
  "functional": "PBE",
  "state": "optimized geometry",
  "lattice": [[-5.131, -1.768, -1.673], [-1.604, -4.864, -2.455], [-3.265, -4.215, 1.956]],
  "species": ["Co", "In", "In", "La"],
  "fractional_positions": [[0.667, 0.667, 0.667], [0.039, 0.039, 0.039], [0.288, 0.288, 0.288], [0.506, 0.506, 0.506]],
  "m_tot_mub_per_atom": 0.000,
  "formation_enthalpy_0k_ev_per_atom": -0.19,
  "density_g_cm3": 7.28
}

(19)
{
  "formula": "AcSm6Dy6",
  "functional": "PBE",
  "state": "optimized geometry",
  "lattice": [[-3.121, -3.163, 5.059], [-0.271, -2.534, -6.232], [9.546, -6.110, 2.069]],
  "species": ["Ac", "Sm", "Sm", "Sm", "Sm", "Sm", "Sm", "Dy", "Dy", "Dy", "Dy", "Dy", "Dy"],
  "fractional_positions": [[0.000, 0.000, 0.000], [0.000, 0.000, 0.646], [0.000, 0.000, 0.354], [0.333, 0.667, 0.000], [0.667, 0.333, 0.000], [0.333, 0.667, 0.500], [0.667, 0.333, 0.500], [0.000, 0.500, 0.751], [0.500, 0.000, 0.751], [0.500, 0.500, 0.751], [0.500, 0.000, 0.249], [0.000, 0.500, 0.249], [0.500, 0.500, 0.249]],
  "m_tot_mub_per_atom": 0.001,
  "formation_enthalpy_0k_ev_per_atom": 0.25,
  "density_g_cm3": 7.72
}

(20)
{
  "formula": "Be2TlCl6",
  "functional": "PBE",
  "state": "optimized geometry",
  "lattice": [[-4.502, -0.572, -3.929], [3.613, -0.089, -8.799], [-1.899, -9.249, -1.149]],
  "species": ["Be", "Be", "Be", "Be", "Tl", "Tl", "Cl", "Cl", "Cl", "Cl", "Cl", "Cl", "Cl", "Cl", "Cl", "Cl", "Cl", "Cl"],
  "fractional_positions": [[0.231, 0.644, 0.790], [0.269, 0.210, 0.356], [0.769, 0.356, 0.210], [0.731, 0.790, 0.644], [0.250, 0.227, 0.773], [0.750, 0.773, 0.227], [0.455, 0.724, 0.612], [0.045, 0.388, 0.276], [0.545, 0.276, 0.388], [0.955, 0.612, 0.724], [0.928, 0.838, 0.443], [0.572, 0.557, 0.162], [0.072, 0.162, 0.557], [0.428, 0.443, 0.838], [0.111, 0.794, 0.962], [0.389, 0.038, 0.206], [0.889, 0.206, 0.038], [0.611, 0.962, 0.794]],
  "m_tot_mub_per_atom": 0.071,
  "formation_energy_uncorrected_kj_per_mol_fu": -987,
  "density_g_cm3": 2.97
}

no.,calculated volume (Å³/cell)
1,105
2,86
3,83
4,316
5,148
6,139
7,276
8,420
9,216
10,101
11,129
12,229
13,404
14,119
15,97
16,184
17,193
18,97
19,452
20,486